La2PmNdN4 (PBE-GGA, relaxed); theoretical density = 7.26 g/cm3; E_form (uncorrected) = -10.816 eV per formula unit; VASP energy = -7.9363 eV/atom
1.0
6.3920 0.0000 0.0000
0.0000 3.6907 0.0000
-2.1310 0.0000 6.0399
La Pm Nd N
2 1 1 4
Direct
0.0000 0.0000 0.0000
0.5000 0.5000 0.0000
0.0000 0.5000 0.5000
0.5000 0.0000 0.5000
0.2471 0.0000 0.7444
0.2505 0.5000 0.2550
0.7495 0.5000 0.7450
0.7529 0.0000 0.2556



LaPm2NdN4 (PBE-GGA, relaxed); theoretical density = 7.54 g/cm3; E_form (uncorrected) = -11.049 eV per formula unit; VASP energy = -7.9434 eV/atom
1.0
6.3356 0.0000 0.0000
0.0000 3.6576 0.0000
-2.1073 0.0000 5.9776
La Pm Nd N
1 2 1 4
Direct
0.0000 0.0000 0.0000
0.0000 0.5000 0.5000
0.5000 0.0000 0.5000
0.5000 0.5000 0.0000
0.2505 0.0000 0.7465
0.2536 0.5000 0.2554
0.7464 0.5000 0.7446
0.7495 0.0000 0.2535



LaPr2NdN4 (PBE-GGA, relaxed); theoretical density = 7.21 g/cm3; E_form (uncorrected) = -10.489 eV per formula unit; VASP energy = -7.8806 eV/atom
1.0
6.4023 0.0000 0.0000
0.0000 3.6970 0.0000
-2.1301 0.0000 6.0385
La Pr Nd N
1 2 1 4
Direct
0.0000 0.0000 0.0000
0.5000 0.0000 0.5000
0.5000 0.5000 0.0000
0.0000 0.5000 0.5000
0.2489 0.0000 0.7480
0.2505 0.5000 0.2519
0.7495 0.5000 0.7481
0.7511 0.0000 0.2520



La2PrNdN4 (PBE-GGA, relaxed); theoretical density = 7.10 g/cm3; E_form (uncorrected) = -10.549 eV per formula unit; VASP energy = -7.9065 eV/atom
1.0
6.4268 0.0000 0.0000
0.0000 3.7112 0.0000
-2.1415 0.0000 6.0681
La Pr Nd N
2 1 1 4
Direct
0.0000 0.0000 0.0000
0.5000 0.5000 0.0000
0.0000 0.5000 0.5000
0.5000 0.0000 0.5000
0.2501 0.0000 0.7475
0.2522 0.5000 0.2534
0.7478 0.5000 0.7466
0.7499 0.0000 0.2525



LaPrNd2N4 (PBE-GGA, relaxed); theoretical density = 7.31 g/cm3; E_form (uncorrected) = -10.630 eV per formula unit; VASP energy = -7.8967 eV/atom
1.0
6.3853 0.0000 0.0000
0.0000 3.6869 0.0000
-2.1251 0.0000 6.0233
La Pr Nd N
1 1 2 4
Direct
0.0000 0.0000 0.0000
0.5000 0.5000 0.0000
0.0000 0.5000 0.5000
0.5000 0.0000 0.5000
0.2497 0.0000 0.7472
0.2520 0.5000 0.2535
0.7480 0.5000 0.7465
0.7503 0.0000 0.2528



LaNdPtN2 (PBE-GGA, relaxed); theoretical density = 8.71 g/cm3; E_form (uncorrected) = -4.563 eV per formula unit; VASP energy = -7.3900 eV/atom
1.0
5.4432 0.0000 0.0000
0.0000 5.2229 0.0000
-0.0317 0.0000 6.7925
La Nd Pt N
2 2 2 4
Direct
0.0000 0.0035 0.2500
0.0000 0.9965 0.7500
0.5000 0.4989 0.7500
0.5000 0.5011 0.2500
0.5000 0.0000 0.0000
0.5000 0.0000 0.5000
0.2273 0.2809 0.9997
0.2273 0.7191 0.4997
0.7727 0.2809 0.5003
0.7727 0.7191 0.0003



- The lowest theoretical density belongs to which entry?
  La2PrNdN4



- The highest VASP energy belongs to which entry?
  LaNdPtN2



- Number 4 is which compound?
  La2PrNdN4



- Among the records above, which one has the highest theoretical density?
  LaNdPtN2